DFT (PBE+U) results for a relaxed structure of NaFeNO2.

Computed properties:
* DOS at the Fermi energy: 1.72 states/eV/cell
* ρ: 3.0 g/cm3
* DFT total energy: -3.91 eV/atom
* crystal system: tetragonal

Cell: 4.093 4.093 4.117 Å, 90.00 90.00 90.00°
Last column: magnetic moment on the atom in μB.
Positions (direct):
Fe1 0.500 0.500 0.500  3.79
Na1 0.000 0.000 0.000  0.03
O1 0.500 0.000 0.000  0.82
O2 0.000 0.500 0.000  0.82
N1 0.000 0.000 0.500  1.52